Entry from Alexandria via LeMat-Bulk: an optimized crystal structure of LiMoN2O (GGA+U).

## Properties
- Total energy: -4.961 eV per atom

Cell lengths 3.5251, 3.5251, 3.5450 Å; angles 90.00, 90.00, 90.00 degrees
Closest atoms and distances in Å follow each position.
Space group P4/mmm (No. 123)
Asymmetric unit:
Li 0.0000 0.0000 0.0000 [1 per cell]  4 N 1.76, 2 O 1.77
Mo 0.5000 0.5000 0.5000 [1 per cell]  4 O 2.49, 8 N 2.50
N 0.0000 0.5000 0.0000 [2 per cell]  2 Li 1.76
O 0.0000 0.0000 0.5000 [1 per cell]  2 Li 1.77